Record 1
meta-GGA SCAN LiHgSb3, single point on PBEsol structure; crystal system = cubic; E_form (uncorrected) = 3.118 eV per formula unit
1.0
5.5377 0.0000 0.0000
0.0000 5.5377 0.0000
0.0000 0.0000 5.5377
Li Hg Sb
1 1 3
direct
0.0000 0.0000 0.0000
0.5000 0.5000 0.5000
0.0000 0.5000 0.5000
0.5000 0.0000 0.5000
0.5000 0.5000 0.0000

Record 2
meta-GGA SCAN Ca2TaAg, single point on PBEsol structure; ΔH_f (0 K) = 0.400 eV/atom; crystal system = tetragonal
1.0
3.1476 0.0000 0.0000
0.0000 3.1476 0.0000
0.0000 0.0000 9.2408
Ca Ta Ag
2 1 1
direct
0.0000 0.0000 0.2416
0.0000 0.0000 0.7584
0.5000 0.5000 0.5000
0.5000 0.5000 0.0000

Record 3
meta-GGA SCAN CaTiP3, single point on PBEsol structure; ΔH_f (0 K) = 1.080 eV/atom; crystal system = cubic
1.0
4.8981 0.0000 0.0000
0.0000 4.8981 0.0000
0.0000 0.0000 4.8981
Ca Ti P
1 1 3
direct
0.0000 0.0000 0.0000
0.5000 0.5000 0.5000
0.0000 0.0000 0.5000
0.0000 0.5000 0.0000
0.5000 0.0000 0.0000

Calculated calculated total energy, -35.844; -28.919; -10.298 eV/atom (same order as the records).